{
  "formula": "La2As2IrPdO2",
  "functional": "PBE",
  "state": "optimized geometry",
  "lattice": [[4.1969, 0.0000, 0.0000], [0.0000, 4.1969, 0.0000], [0.0000, 0.0000, 8.4146]],
  "species": ["La", "La", "As", "As", "Ir", "Pd", "O", "O"],
  "fractional_positions": [[0.0000, 0.5000, 0.1384], [0.5000, 0.0000, 0.8616], [0.0000, 0.5000, 0.6590], [0.5000, 0.0000, 0.3410], [0.5000, 0.5000, 0.5000], [0.0000, 0.0000, 0.5000], [0.0000, 0.0000, 0.0000], [0.5000, 0.5000, 0.0000]],
  "total_energy_ev_per_fu": -58.11,
  "total_magnetization_mub_per_atom": 0.001
}